No. 1
Here is crystalline NaCa2HgRh at its relaxed geometry from Alexandria via LeMat-Bulk. Energies are from PBE-GGA.

POSCAR file:
```
NaCa2HgRh
1.0
5.379 0.000 0.000
0.000 5.379 0.000
0.000 0.000 5.421
Na Ca Hg Rh
1 2 1 1
Direct
0.000 0.000 0.000 Na
0.000 0.500 0.500 Ca
0.500 0.000 0.500 Ca
0.500 0.500 0.000 Hg
0.500 0.500 0.500 Rh
```

Properties
ΔH_f (0 K)   -208 meV per atom

No. 2
Here is crystalline FeNi2Br at its relaxed geometry from Alexandria via LeMat-Bulk. Energies are from PBE-GGA.

POSCAR file:
```
FeNi2Br
1.0
0.000 3.032 3.032
3.032 0.000 3.032
3.032 3.032 0.000
Fe Ni Br
1 2 1
Direct
0.000 0.000 0.000 Fe
0.250 0.250 0.250 Ni
0.750 0.750 0.750 Ni
0.500 0.500 0.500 Br
```

Properties
ΔE_f (raw)   2.73 eV/f.u.
Energy above the lowest structure with this stoichiometry   0.409 eV per atom

No. 3
Here is crystalline Ba3AcTc2N6 at its relaxed geometry from Alexandria via LeMat-Bulk. Energies are from PBE-GGA.

POSCAR file:
```
Ba3AcTc2N6
1.0
6.403 0.000 0.000
-3.202 5.545 0.000
0.000 0.000 7.595
Ba Ac Tc N
3 1 2 6
Direct
0.000 0.000 0.000 Ba
0.333 0.667 0.732 Ba
0.667 0.333 0.268 Ba
0.000 0.000 0.500 Ac
0.333 0.667 0.240 Tc
0.667 0.333 0.760 Tc
0.172 0.344 0.273 N
0.172 0.828 0.273 N
0.344 0.172 0.727 N
0.656 0.828 0.273 N
0.828 0.172 0.727 N
0.828 0.656 0.727 N
```

Properties
ΔE_f (raw)   -7.68 eV/f.u.

No. 4
Here is crystalline PuAl2Pd3 at its relaxed geometry from Alexandria via LeMat-Bulk. Energies are from PBE-GGA.

POSCAR file:
```
PuAl2Pd3
1.0
3.051 0.000 0.000
0.000 3.051 0.000
0.000 0.000 10.677
Pu Al Pd
1 2 3
Direct
0.000 0.000 0.000 Pu
0.000 0.000 0.349 Al
0.000 0.000 0.651 Al
0.500 0.500 0.216 Pd
0.500 0.500 0.500 Pd
0.500 0.500 0.784 Pd
```

Properties
ΔH_f (0 K)   -732 meV per atom

No. 5
Here is crystalline KLi2Bi2 at its relaxed geometry from Alexandria via LeMat-Bulk. Energies are from PBE-GGA.

POSCAR file:
```
KLi2Bi2
1.0
9.226 0.000 0.000
0.000 9.226 0.000
0.000 0.000 3.318
K Li Bi
2 4 4
Direct
0.000 0.000 0.000 K
0.500 0.500 0.000 K
0.139 0.361 0.500 Li
0.361 0.861 0.500 Li
0.639 0.139 0.500 Li
0.861 0.639 0.500 Li
0.144 0.644 0.000 Bi
0.356 0.144 0.000 Bi
0.644 0.856 0.000 Bi
0.856 0.356 0.000 Bi
```

Properties
ΔH_f (0 K)   -355 meV per atom
Energy above the lowest structure with this stoichiometry   0.040 eV per atom

No. 6
Here is crystalline DyErHg at its relaxed geometry from Alexandria via LeMat-Bulk. Energies are from PBE-GGA.

POSCAR file:
```
DyErHg
1.0
5.118 0.000 0.000
-2.559 4.432 0.000
0.000 0.000 3.677
Dy Er Hg
1 1 1
Direct
0.000 0.000 0.000 Dy
0.333 0.667 0.468 Er
0.667 0.333 0.694 Hg
```

Properties
ΔH_f (0 K)   -183 meV per atom
Energy above the lowest structure with this stoichiometry   0.182 eV per atom